# 1
Compound: HfScIO2
Source: the Alexandria database
Functional: PBE
Structure: relaxed

The structure in POSCAR format:
```
HfScIO2
1.0
4.1145 0.0000 0.0000
0.0000 4.1145 0.0000
0.0000 0.0000 5.5515
Hf I O Sc
1 1 2 1
Cartesian
2.0573 2.0573 2.7758
0.0000 0.0000 2.7758
0.0000 2.0573 0.0000
2.0573 0.0000 0.0000
0.0000 0.0000 0.0000
```

Values from the calculation:
Volume ... 18.80 Å³ per atom
E above lowest polymorph ... 581.9 meV/atom
Uncorrected formation energy ... -0.975 eV per atom

# 2
Compound: HfScIO2
Source: the Alexandria database
Functional: PBE
Structure: relaxed

The structure in POSCAR format:
```
HfScIO2
1.0
4.0857 0.0000 0.0000
0.0000 4.0857 0.0000
0.0000 0.0000 6.0978
Hf I O Sc
1 1 2 1
Cartesian
0.0000 0.0000 0.0000
0.0000 0.0000 3.0489
0.0000 2.0429 0.0000
2.0429 0.0000 0.0000
2.0429 2.0429 3.0489
```

Values from the calculation:
Volume ... 20.36 Å³ per atom
E above lowest polymorph ... 0.0 meV/atom
Uncorrected formation energy ... -1.557 eV per atom

# 3
Compound: HfSeI2O
Source: the Alexandria database
Functional: PBE
Structure: relaxed

The structure in POSCAR format:
```
HfSeI2O
1.0
-2.3315 -5.1643 -1.2466
2.7833 -0.0278 -5.0904
2.9327 -1.7134 1.6129
O I Se Hf
1 2 1 1
Cartesian
1.4664 -0.8567 0.8065
-1.1657 -2.5821 -0.6233
1.3917 -0.0139 -2.5452
0.0000 0.0000 0.0000
1.6923 -3.4527 -2.3620
```

Values from the calculation:
Volume ... 25.31 Å³ per atom
E above lowest polymorph ... 1214.9 meV/atom
Uncorrected formation energy ... 0.408 eV per atom

# 4
Compound: HfSeI2O
Source: the Alexandria database
Functional: PBE
Structure: relaxed

The structure in POSCAR format:
```
HfSeI2O
1.0
-1.1952 -2.0975 -5.3443
5.6744 0.3982 -1.4253
0.5902 -3.6940 1.3178
Se Hf I O
1 1 2 1
Cartesian
2.5347 -2.6966 -2.7259
0.0000 0.0000 0.0000
-0.5976 -1.0487 -2.6721
2.8372 0.1991 -0.7127
0.2951 -1.8470 0.6589
```

Values from the calculation:
Volume ... 27.28 Å³ per atom
E above lowest polymorph ... 0.0 meV/atom
Uncorrected formation energy ... -0.807 eV per atom

# 5
Compound: HfSiIO2
Source: the Alexandria database
Functional: PBE
Structure: relaxed

The structure in POSCAR format:
```
HfSiIO2
1.0
3.8389 0.0000 0.0000
0.0000 3.8389 0.0000
0.0000 0.0000 5.5432
O I Hf Si
2 1 1 1
Cartesian
0.0000 1.9194 0.0000
1.9194 0.0000 0.0000
0.0000 0.0000 2.7716
1.9194 1.9194 2.7716
0.0000 0.0000 0.0000
```

Values from the calculation:
Volume ... 16.34 Å³ per atom
E above lowest polymorph ... 994.9 meV/atom
Uncorrected formation energy ... -0.149 eV per atom

# 6
Compound: HfSiIO2
Source: the Alexandria database
Functional: PBE
Structure: relaxed

The structure in POSCAR format:
```
HfSiIO2
1.0
-2.4778 -2.0313 -2.5149
-2.3564 -1.0344 3.1571
-3.3778 5.1518 -0.8331
O I Si Hf
2 1 1 1
Cartesian
-1.1782 -0.5172 1.5786
-1.2389 -1.0156 -1.2574
-1.6889 2.5759 -0.4166
-4.1060 1.0430 -0.0954
0.0000 0.0000 0.0000
```

Values from the calculation:
Volume ... 20.63 Å³ per atom
E above lowest polymorph ... 0.0 meV/atom
Uncorrected formation energy ... -1.144 eV per atom

# 7
Compound: HfSnIO2
Source: the Alexandria database
Functional: PBE
Structure: relaxed

The structure in POSCAR format:
```
HfSnIO2
1.0
4.1074 0.0000 0.0000
0.0000 4.1074 0.0000
0.0000 0.0000 6.3982
I Sn O Hf
1 1 2 1
Cartesian
0.0000 0.0000 3.1991
0.0000 0.0000 0.0000
2.0537 0.0000 0.0000
0.0000 2.0537 0.0000
2.0537 2.0537 3.1991
```

Values from the calculation:
Volume ... 21.59 Å³ per atom
E above lowest polymorph ... 1277.7 meV/atom
Uncorrected formation energy ... -0.003 eV per atom

# 8
Compound: HfSnIO2
Source: the Alexandria database
Functional: PBE
Structure: relaxed

The structure in POSCAR format:
```
HfSnIO2
1.0
-1.0362 -3.6663 1.8008
1.9374 -2.0767 -3.1132
5.1307 0.0890 3.1336
O I Sn Hf
2 1 1 1
Cartesian
-0.5181 -1.8331 0.9004
0.9687 -1.0384 -1.5566
2.5654 0.0445 1.5668
3.0159 -2.8270 0.9106
0.0000 0.0000 0.0000
```

Values from the calculation:
Volume ... 21.35 Å³ per atom
E above lowest polymorph ... 0.0 meV/atom
Uncorrected formation energy ... -1.281 eV per atom